(1)
Hf2TlAg2: relaxed, GGA-PBE.

Computed properties:
As for the formation energy: 0.152 eV per atom. Its symmetry is P4/mbm (127). As for the spin magnetization: 0.3 μB per formula unit.

Cell lengths 7.8066, 7.8066, 3.4237 Å; angles 90.00, 90.00, 90.00 degrees
Site moments in Bohr magnetons follow the coordinates.
Element x y z (fractional)
Tl1 0.0000 0.0000 0.0000  0.00
Tl2 0.5000 0.5000 0.0000  0.00
Hf1 0.1706 0.6706 0.5000  0.09
Hf2 0.6706 0.8294 0.5000  0.08
Hf3 0.8294 0.3294 0.5000  0.09
Hf4 0.3294 0.1706 0.5000  0.08
Ag1 0.3743 0.8743 0.0000  0.02
Ag2 0.8743 0.6257 0.0000  0.02
Ag3 0.6257 0.1257 0.0000  0.02
Ag4 0.1257 0.3743 0.0000  0.02

=====

(2)
HfTl3Ag: relaxed, GGA-PBE.

Computed properties:
As for the formation energy: 0.864 eV per atom. Its symmetry is Pm-3m (221). As for the spin magnetization: 0.0 μB per formula unit.

Cell lengths 5.3322, 5.3322, 5.3322 Å; angles 90.00, 90.00, 90.00 degrees
Element x y z (fractional)
Tl1 0.0000 0.5000 0.0000
Tl2 0.0000 0.0000 0.5000
Tl3 0.5000 0.0000 0.0000
Hf1 0.5000 0.5000 0.5000
Ag1 0.0000 0.0000 0.0000

=====

(3)
HfTlAg: relaxed, GGA-PBE.

Computed properties:
As for the formation energy: 0.132 eV per atom. Its symmetry is Cm (8). As for the spin magnetization: 0.0 μB per formula unit.

Cell lengths 7.9057, 3.2003, 5.9368 Å; angles 74.30, 112.80, 90.09 degrees
Element x y z (fractional)
Tl1 0.3730 0.5815 0.8140
Tl2 0.5634 0.2729 0.4320
Hf1 0.7547 0.9548 0.0653
Hf2 0.9150 0.6119 0.7539
Ag1 0.2053 0.9157 0.1479
Ag2 0.0556 0.2717 0.4345

=====

(4)
HfTlAg: relaxed, GGA-PBE.

Computed properties:
As for the formation energy: 0.129 eV per atom. Its symmetry is P-1 (2). As for the spin magnetization: 0.0 μB per formula unit.

Cell lengths 3.1988, 8.1587, 5.3612 Å; angles 94.56, 106.58, 101.42 degrees
Element x y z (fractional)
Tl1 0.9438 0.5517 0.0563
Tl2 0.4438 0.0517 0.5563
Hf1 0.1136 0.3911 0.5560
Hf2 0.7739 0.7123 0.5566
Ag1 0.2820 0.2155 0.0661
Ag2 0.6055 0.8879 0.0466

=====

(5)
HfTlAg: relaxed, GGA-PBE.

Computed properties:
As for the formation energy: 0.331 eV per atom. Its symmetry is R-3m (166). As for the spin magnetization: 0.3 μB per formula unit.

Cell lengths 4.9807, 4.9807, 7.0578 Å; angles 69.34, 69.34, 60.00 degrees
Site moments in Bohr magnetons follow the coordinates.
Element x y z (fractional)
Hf1 0.2829 0.2829 0.1513  0.18
Hf2 0.7171 0.7171 0.8487  0.18
Ag1 0.4262 0.4262 0.7213  0.01
Ag2 0.5738 0.5738 0.2787  0.01
Tl1 0.8999 0.8999 0.3003  0.00
Tl2 0.1001 0.1001 0.6997  0.00

=====

(6)
HfTlAg: relaxed, GGA-PBE.

Computed properties:
As for the formation energy: 0.136 eV per atom. Its symmetry is P1 (1). As for the spin magnetization: 0.0 μB per formula unit.

Cell lengths 6.1235, 3.1737, 7.3833 Å; angles 102.32, 80.97, 74.84 degrees
Element x y z (fractional)
Tl1 0.1448 0.4057 0.8193
Tl2 0.3166 0.0217 0.2192
Hf1 0.6503 0.1867 0.8837
Hf2 0.5549 0.5675 0.5493
Ag1 0.8262 0.7504 0.1897
Ag2 0.9973 0.8306 0.5172

=====

(7)
HfTlAg: relaxed, GGA-PBE.

Computed properties:
As for the formation energy: 0.350 eV per atom. Its symmetry is P4/nmm (129). As for the spin magnetization: 0.0 μB per formula unit.

Cell lengths 4.1571, 4.1571, 7.8248 Å; angles 90.00, 90.00, 90.00 degrees
Element x y z (fractional)
Tl1 0.0000 0.0000 0.5000
Tl2 0.5000 0.5000 0.5000
Hf1 0.0000 0.5000 0.1222
Hf2 0.5000 0.0000 0.8778
Ag1 0.0000 0.5000 0.7770
Ag2 0.5000 0.0000 0.2230

=====

(8)
HfTlAg: relaxed, GGA-PBE.

Computed properties:
As for the formation energy: 0.120 eV per atom. Its symmetry is Cm (8). As for the spin magnetization: 0.0 μB per formula unit.

Cell lengths 6.4102, 3.2348, 6.6319 Å; angles 104.10, 101.37, 89.99 degrees
Element x y z (fractional)
Tl1 0.1652 0.5498 0.4936
Tl2 0.7839 0.8798 0.1531
Hf1 0.9608 0.2073 0.8077
Hf2 0.2860 0.8608 0.1153
Ag1 0.4835 0.2088 0.8110
Ag2 0.6323 0.5464 0.4859

=====

Question: spin magnetization of number 1 (Hf2TlAg2)?
Answer: 0.3 μB per formula unit